1.
Below is a relaxed SiAsPdSe2 crystal, with properties calculated at the PBE level.

Unit cell a=5.0872 b=5.0872 c=4.6457 alpha=90.00 beta=90.00 gamma=90.00
Fractional positions:
1 Si 0.0000 0.0000 0.0000
2 As 0.5000 0.5000 0.0000
3 Pd 0.5000 0.5000 0.5000
4 Se 0.0000 0.5000 0.5000
5 Se 0.5000 0.0000 0.5000

Values from the calculation:
- total energy (eV/atom) = -3.77
- V (Å³/cell) = 120.2
- theoretical density (Mg/m³) = 5.07
- crystal system = tetragonal
- formation energy without anion corrections (eV/atom) = 0.672
- energy above the lowest structure with this stoichiometry (meV per atom) = 58



2.
Below is a relaxed NdSm2As3 crystal, with properties calculated at the PBE level.

Unit cell a=7.3330 b=7.3330 c=7.3330 alpha=146.40 beta=131.83 gamma=60.01
Fractional positions:
1 Nd 0.0000 0.0000 0.0000
2 Sm 0.3336 0.3336 0.0000
3 Sm 0.6664 0.6664 0.0000
4 As 0.1685 0.6685 0.5000
5 As 0.5000 0.0000 0.5000
6 As 0.8315 0.3315 0.5000

Values from the calculation:
- formation energy (eV/atom) = -1.522
- total energy (eV/atom) = -6.21
- V (Å³/cell) = 161.1
- theoretical density (Mg/m³) = 6.90
- crystal system = orthorhombic



3.
Below is a relaxed VSn2PbW crystal, with properties calculated at the PBE level.

Unit cell a=5.5753 b=5.5753 c=5.1808 alpha=90.00 beta=90.00 gamma=90.00
Fractional positions:
1 V 0.0000 0.0000 0.0000
2 Sn 0.0000 0.5000 0.5000
3 Sn 0.5000 0.0000 0.5000
4 Pb 0.5000 0.5000 0.5000
5 W 0.5000 0.5000 0.0000

Values from the calculation:
- formation energy (eV/atom) = 2.404
- total energy (eV/atom) = -4.35
- V (Å³/cell) = 161.0
- theoretical density (Mg/m³) = 7.01
- crystal system = tetragonal



4.
Below is a relaxed LuPaPd crystal, with properties calculated at the PBE level.

Unit cell a=6.5239 b=6.5239 c=6.5239 alpha=149.81 beta=149.81 gamma=43.22
Fractional positions:
1 Lu 0.0000 0.0000 0.0000
2 Pa 0.7030 0.7030 0.0000
3 Pd 0.3527 0.3527 0.0000

Values from the calculation:
- formation energy (eV/atom) = -0.307
- total energy (eV/atom) = -6.71
- V (Å³/cell) = 70.0
- theoretical density (Mg/m³) = 12.15
- crystal system = tetragonal



5.
Below is a relaxed Ca3TmAg4 crystal, with properties calculated at the PBE level.

Unit cell a=3.6720 b=3.6720 c=14.7889 alpha=90.00 beta=90.00 gamma=90.00
Fractional positions:
1 Ca 0.0000 0.0000 0.0000
2 Ca 0.0000 0.0000 0.2541
3 Ca 0.0000 0.0000 0.7459
4 Tm 0.0000 0.0000 0.5000
5 Ag 0.5000 0.5000 0.1261
6 Ag 0.5000 0.5000 0.3888
7 Ag 0.5000 0.5000 0.6112
8 Ag 0.5000 0.5000 0.8739

Values from the calculation:
- formation energy (eV/atom) = -0.321
- total energy (eV/atom) = -3.06
- V (Å³/cell) = 199.4
- theoretical density (Mg/m³) = 6.00
- crystal system = tetragonal



6.
Below is a relaxed SmHo2H8 crystal, with properties calculated at the PBE level.

Unit cell a=6.3339 b=6.3339 c=6.3339 alpha=146.50 beta=131.54 gamma=60.20
Fractional positions:
1 Sm 0.0000 0.0000 0.0000
2 Ho 0.3306 0.3306 0.0000
3 Ho 0.6694 0.6694 0.0000
4 H 0.1005 0.8353 0.2652
5 H 0.1569 0.6569 0.5000
6 H 0.2813 0.5000 0.7813
7 H 0.4299 0.1647 0.2652
8 H 0.5701 0.8353 0.7348
9 H 0.7187 0.5000 0.2187
10 H 0.8431 0.3431 0.5000
11 H 0.8995 0.1647 0.7348

Values from the calculation:
- total energy (eV/atom) = -4.32
- V (Å³/cell) = 104.0
- theoretical density (Mg/m³) = 7.80
- crystal system = orthorhombic



7.
Below is a relaxed Cu2ReAs crystal, with properties calculated at the PBE level.

Unit cell a=4.9980 b=4.9980 c=4.9980 alpha=137.67 beta=137.67 gamma=61.41
Fractional positions:
1 Cu 0.2500 0.7500 0.5000
2 Cu 0.7500 0.2500 0.5000
3 Re 0.0000 0.0000 0.0000
4 As 0.5000 0.5000 0.0000

Values from the calculation:
- formation energy (eV/atom) = 0.494
- total energy (eV/atom) = -5.83
- V (Å³/cell) = 56.0
- theoretical density (Mg/m³) = 11.52
- crystal system = tetragonal



8.
Below is a relaxed SrLiRe3 crystal, with properties calculated at the PBE level.

Unit cell a=4.4355 b=4.4355 c=4.4355 alpha=90.00 beta=90.00 gamma=90.00
Fractional positions:
1 Sr 0.0000 0.0000 0.0000
2 Li 0.5000 0.5000 0.5000
3 Re 0.0000 0.5000 0.5000
4 Re 0.5000 0.0000 0.5000
5 Re 0.5000 0.5000 0.0000

Values from the calculation:
- formation energy (eV/atom) = 1.786
- total energy (eV/atom) = -6.40
- V (Å³/cell) = 87.3
- theoretical density (Mg/m³) = 12.43
- crystal system = cubic
- energy above the lowest structure with this stoichiometry (meV per atom) = 0